First-principles (GGA+U) data for a geometry-optimized FeTeP2O8 structure, as listed in Alexandria.

Values from the calculation:
Calculated total energy, eV for the cell shown: -161.5

```
FeTeP2O8
1.0
-0.684 -3.458 3.601
6.691 1.087 2.471
-3.415 6.078 7.089
Fe Te P O
2 2 4 16
Direct
0.935 0.321 0.730 Fe
0.065 0.679 0.270 Fe
0.429 0.783 0.802 Te
0.571 0.217 0.198 Te
0.373 0.219 0.909 P
0.627 0.781 0.091 P
0.904 0.748 0.605 P
0.096 0.252 0.395 P
0.720 0.803 0.934 O
0.280 0.197 0.066 O
0.677 0.236 0.889 O
0.323 0.764 0.111 O
0.188 0.787 0.638 O
0.812 0.213 0.362 O
0.100 0.258 0.546 O
0.900 0.742 0.454 O
0.278 0.036 0.842 O
0.227 0.378 0.847 O
0.773 0.622 0.153 O
0.722 0.964 0.158 O
0.697 0.908 0.669 O
0.766 0.579 0.686 O
0.303 0.092 0.331 O
0.234 0.421 0.314 O
```